VASP calculation (GGA-PBE) on crystalline YPa2InN5 at its relaxed geometry.

Calculated values
The calculated volume comes out at 15.7 Å³ per atom. Its magnetization is 0.46 Bohr magnetons per cell. The space group is Cmc2_1 (36). The raw total energy is -8.87 eV per atom. The calculation puts the uncorrected formation energy at -1116 meV per atom.

a b c (Å): 3.5282 7.2882 11.3515
angles (deg): 90.00 90.00 104.01
With the nearest neighbours (Å) after each atom.
Positions (direct):
Y: 0.7640 0.5281 0.4844  6 N 2.33-2.53
Y: 0.2360 0.4719 0.9844  6 N 2.33-2.53
Pa: 0.8707 0.7414 0.7331  6 N 2.28-2.39
Pa: 0.1432 0.2863 0.7137  3 N 2.16-2.25
Pa: 0.1293 0.2586 0.2331  6 N 2.28-2.39
Pa: 0.8568 0.7137 0.2137  3 N 2.16-2.25
In: 0.5040 0.0079 0.9838  4 N 2.14-2.20
In: 0.4960 0.9921 0.4838  4 N 2.14-2.20
N: 0.3758 0.7517 0.0933  1 In 2.20, 2 Pa 2.25, 1 Y 2.33
N: 0.7206 0.4412 0.8305  3 Pa 2.39-2.46, 2 Y 2.49
N: 0.4583 0.9166 0.7993  1 In 2.19, 2 Pa 2.28
N: 0.2846 0.5693 0.6423  3 Pa 2.16-2.38
N: 0.9249 0.8499 0.5435  2 In 2.14, 1 Pa 2.29, 1 Y 2.37
N: 0.6242 0.2483 0.5933  1 In 2.20, 2 Pa 2.25, 1 Y 2.33
N: 0.2794 0.5588 0.3305  3 Pa 2.39-2.46, 2 Y 2.49
N: 0.5417 0.0834 0.2993  1 In 2.19, 2 Pa 2.28
N: 0.7154 0.4307 0.1423  3 Pa 2.16-2.38
N: 0.0751 0.1501 0.0435  2 In 2.14, 1 Pa 2.29, 1 Y 2.37